Crystalline SmDy2Hg8 at its relaxed geometry, computed with PBE-GGA.

Cell: 5.096 7.468 8.574 Å, 115.82 107.29 90.00°
Fractional coordinates of all 11 atoms:
Dy  0.807  0.307  0.614
Dy  0.193  0.693  0.386
Hg  0.649  0.438  0.298
Hg  0.351  0.140  0.702
Hg  0.843  0.843  0.686
Hg  0.351  0.562  0.702
Hg  0.649  0.860  0.298
Hg  0.000  0.706  0.000
Hg  0.000  0.294  0.000
Hg  0.157  0.157  0.314
Sm  0.500  0.000  0.000

## Properties
density of states at the Fermi level	5.908	states/eV/f.u.
formation energy	-312	meV/atom
relative energy among the computed polymorphs	0.012	eV per atom
ρ	12.46	g/cm3
magnetization	0.00	μB/cell